Computed, not measured: crystalline Tb2FeP at its relaxed geometry at the PBE level of DFT.

Output
* formation enthalpy at 0 K: -0.011 eV/atom

```
Tb2FeP
1.0
3.7046 0.0000 0.0000
1.8523 3.2082 0.0000
1.8523 1.0694 8.7654
Tb Fe P
2 1 1
Cartesian
5.5568 3.2082 2.7063
1.8523 1.0694 6.0591
0.0000 0.0000 0.0000
3.7046 2.1388 4.3827
```